CrW3O: optimized geometry, PBE+U.

abc: 4.2187 4.2187 4.2187
angles: 90.00 90.00 90.00
Each line ends with the local moment (μB).
Atoms (fractional coordinates):
Cr 0.5000 0.5000 0.5000  3.75
O 0.0000 0.0000 0.0000  0.02
W 0.0000 0.5000 0.0000  0.04
W 0.0000 0.0000 0.5000  -0.06
W 0.5000 0.0000 0.0000  -0.07

Output
SG: Pm-3m, No. 221
Final energy: -5.95 eV/atom
Total magnetic moment: 3.9 μB/f.u.